Record 1
Entry from the Alexandria database: Ce5TmGa6 after structural relaxation (PBE).

ΔH_f (0 K), meV per atom: -472
N(E_F), states/eV per atom: 2.33
E_tot, eV/atom: -4.83

a b c (Å): 5.1099 7.2536 8.0993
angles (deg): 90.00 108.27 90.00
Closest atoms and distances in Å follow each position.
Space group P2/m (No. 10)
Unique sites:
Ce 0.0000 0.0000 0.0000 x1  8 Ga 3.11-3.14
Ce 0.3258 0.0000 0.6510 x2  8 Ga 3.14-3.25, 2 Ce 3.45-3.46
Ce 0.3345 0.5000 0.6686 x2  8 Ga 3.10-3.19
Tm 0.0000 0.5000 0.0000 x1  8 Ga 3.04-3.12
Ga 0.1613 0.2576 0.3229 x4  1 Tm 3.04, 7 Ce 3.10-3.19
Ga 0.5000 0.2524 0.0000 x2  6 Ce 3.12-3.25, 2 Tm 3.12


Record 2
Entry from the Alexandria database: KSrAs2 after structural relaxation (PBE).

ΔH_f (0 K), meV per atom: -242
N(E_F), states/eV per atom: 1.32
Energy relative to the lowest polymorph listed for this composition, meV/atom: 463.8
E_tot, eV/atom: -3.26

a b c (Å): 8.7158 8.7158 6.1402
angles (deg): 90.00 90.00 90.00
Closest atoms and distances in Å follow each position.
Space group I-42d (No. 122)
Unique sites:
K 0.0000 0.0000 0.0000 x4  2 Sr 3.07, 4 As 3.23
Sr 0.0000 0.0000 0.5000 x4  2 K 3.07, 4 As 3.13
As 0.2416 0.2500 0.6250 x8  2 As 3.07, 2 Sr 3.13, 2 K 3.23


Record 3
Entry from the Alexandria database: Cs2NbICl6 after structural relaxation (PBE).

N(E_F), states/eV per atom: 0.00
E_tot, eV/atom: -3.82

a b c (Å): 11.8736 11.8736 11.8736
angles (deg): 90.00 90.00 90.00
Closest atoms and distances in Å follow each position.
Space group Fm-3m (No. 225)
Unique sites:
Cs 0.2500 0.2500 0.2500 x8  12 Cl 4.24
Nb 0.0000 0.0000 0.0000 x4  6 Cl 2.39
I 0.0000 0.0000 0.5000 x4  6 Cl 3.54
Cl 0.0000 0.0000 0.2017 x24  1 Nb 2.39


Record 4
Entry from the Alexandria database: Tb2DyRuN4 after structural relaxation (PBE).

N(E_F), states/eV per atom: 0.23
E_tot, eV/atom: -8.06

a b c (Å): 3.3917 11.5966 11.6914
angles (deg): 90.00 90.00 90.00
Closest atoms and distances in Å follow each position.
Space group Cmcm (No. 63)
Unique sites:
Tb 0.0000 0.1315 0.0423 x8  6 N 2.33-2.60
Dy 0.0000 0.3705 0.2500 x4  6 N 2.48-2.69
Ru 0.0000 0.3638 0.7500 x4  4 N 1.97-2.07
N 0.0000 0.0501 0.2500 x4  2 Ru 1.97
N 0.0000 0.2308 0.6322 x8  1 Ru 2.07
N 0.0000 0.5000 0.0000 x4  4 Tb 2.33


Record 5
Entry from the Alexandria database: NbCd after structural relaxation (PBE).

ΔH_f (0 K), meV per atom: 483
N(E_F), states/eV per atom: 1.27
E_tot, eV/atom: -5.01

a b c (Å): 9.0730 9.0730 4.0324
angles (deg): 90.00 90.00 90.00
Closest atoms and distances in Å follow each position.
Space group I4/mmm (No. 139)
Unique sites:
Nb 0.1633 0.1633 0.0000 x8  6 Cd 2.91-3.06, 4 Nb 2.96-3.00
Cd 0.0000 0.3261 0.5000 x8  6 Nb 2.91-3.06, 5 Cd 3.01-3.16


Record 6
Entry from the Alexandria database: PmNdSiRh after structural relaxation (PBE).

N(E_F), states/eV per atom: 0.66
Energy relative to the lowest polymorph listed for this composition, meV/atom: 231.7
E_tot, eV/atom: -6.10

a b c (Å): 7.1812 7.1812 7.1812
angles (deg): 90.00 90.00 90.00
Closest atoms and distances in Å follow each position.
Space group F-43m (No. 216)
Unique sites:
Pm 0.0000 0.0000 0.0000 x4  4 Rh 3.11, 4 Si 3.11
Nd 0.0000 0.0000 0.5000 x4  4 Rh 3.11, 4 Si 3.11
Si 0.2500 0.2500 0.7500 x4  4 Pm 3.11, 4 Nd 3.11
Rh 0.2500 0.2500 0.2500 x4  4 Nd 3.11, 4 Pm 3.11


Record 7
Entry from the Alexandria database: CrMoRh2 after structural relaxation (PBE).

ΔH_f (0 K), meV per atom: -85
N(E_F), states/eV per atom: 0.88
Energy relative to the lowest polymorph listed for this composition, meV/atom: 27.1
E_tot, eV/atom: -8.87

a b c (Å): 5.3932 7.6554 2.7079
angles (deg): 90.00 90.00 90.00
Closest atoms and distances in Å follow each position.
Space group Cmmm (No. 65)
Unique sites:
Cr 0.0000 0.0000 0.0000 x2  2 Mo 2.70, 8 Rh 2.70, 2 Cr 2.71
Mo 0.0000 0.5000 0.0000 x2  2 Cr 2.70, 8 Rh 2.70, 2 Mo 2.71
Rh 0.2500 0.2500 0.5000 x4  4 Rh 2.70-2.71, 4 Cr 2.70, 4 Mo 2.70


Record 8
Entry from the Alexandria database: CaCePmAl after structural relaxation (PBE).

ΔH_f (0 K), meV per atom: 22
N(E_F), states/eV per atom: 2.48
E_tot, eV/atom: -4.09

a b c (Å): 7.7480 7.7480 7.7480
angles (deg): 90.00 90.00 90.00
Closest atoms and distances in Å follow each position.
Space group F-43m (No. 216)
Unique sites:
Ca 0.0000 0.0000 0.0000 x4  4 Ce 3.35, 4 Pm 3.35
Ce 0.2500 0.2500 0.7500 x4  4 Ca 3.35, 4 Al 3.35
Pm 0.2500 0.2500 0.2500 x4  4 Ca 3.35, 4 Al 3.35
Al 0.0000 0.0000 0.5000 x4  4 Ce 3.35, 4 Pm 3.35


Record 9
Entry from the Alexandria database: NaAg after structural relaxation (PBE).

ΔH_f (0 K), meV per atom: 17
N(E_F), states/eV per atom: 0.28
E_tot, eV/atom: -2.07

a b c (Å): 5.4397 8.8811 15.9905
angles (deg): 90.00 90.00 90.00
Closest atoms and distances in Å follow each position.
Space group Fddd (No. 70, origin choice 2)
Unique sites:
Na 0.1250 0.2924 0.1250 x16  3 Na 2.97-3.09, 4 Ag 3.04-3.26
Ag 0.1250 0.1250 0.5388 x16  3 Ag 2.76-2.88, 2 Na 3.04


Record 10
Entry from the Alexandria database: HoMg8Zn2 after structural relaxation (PBE).

ΔH_f (0 K), meV per atom: 42
N(E_F), states/eV per atom: 0.64
E_tot, eV/atom: -1.77

a b c (Å): 8.4487 12.3391 5.1433
angles (deg): 90.00 106.47 90.00
Closest atoms and distances in Å follow each position.
Space group C2/m (No. 12)
Unique sites:
Ho 0.0000 0.0000 0.0000 x2  12 Mg 3.17-3.41
Mg 0.0000 0.2586 0.0000 x4  2 Zn 2.66
Mg 0.1082 0.5000 0.8114 x4  2 Zn 2.82, 1 Mg 3.02
Mg 0.1996 0.1235 0.5891 x8  2 Zn 2.82-2.83, 1 Mg 3.05
Zn 0.0000 0.3122 0.5000 x4  8 Mg 2.66-2.83


Record 11
Entry from the Alexandria database: CoW2 after structural relaxation (PBE).

ΔH_f (0 K), meV per atom: 293
N(E_F), states/eV per atom: 1.15
Energy relative to the lowest polymorph listed for this composition, meV/atom: 285.7
E_tot, eV/atom: -10.71

a b c (Å): 3.0340 3.3238 8.6637
angles (deg): 90.00 90.00 90.00
Closest atoms and distances in Å follow each position.
Space group Immm (No. 71)
Unique sites:
Co 0.0000 0.0000 0.0000 x2  10 W 2.66-2.92
W 0.0000 0.0000 0.3369 x4  5 Co 2.66-2.92, 5 W 2.71-2.83


Record 12
Entry from the Alexandria database: PuMnVSi after structural relaxation (PBE).

N(E_F), states/eV per atom: 1.82
E_tot, eV/atom: -9.65

a b c (Å): 6.1415 6.1415 6.1415
angles (deg): 90.00 90.00 90.00
Closest atoms and distances in Å follow each position.
Space group F-43m (No. 216)
Unique sites:
Pu 0.0000 0.0000 0.0000 x4  4 Mn 2.66, 4 V 2.66
Mn 0.2500 0.2500 0.2500 x4  4 Pu 2.66, 4 Si 2.66
V 0.2500 0.2500 0.7500 x4  4 Pu 2.66, 4 Si 2.66
Si 0.0000 0.0000 0.5000 x4  4 Mn 2.66, 4 V 2.66


Record 13
Entry from the Alexandria database: MgTlGeTe3 after structural relaxation (PBE).

N(E_F), states/eV per atom: 0.38
E_tot, eV/atom: -3.33

a b c (Å): 9.3293 4.1471 10.5199
angles (deg): 90.00 104.67 90.00
Closest atoms and distances in Å follow each position.
Space group P2_1/m (No. 11)
Unique sites:
Mg 0.0876 0.2500 0.1148 x2  4 Te 2.79-2.87
Tl 0.1979 0.2500 0.7369 x2  7 Te 3.48-3.56
Ge 0.3395 0.7500 0.4022 x2  5 Te 2.74-2.96
Te 0.1159 0.2500 0.3879 x2  1 Mg 2.82, 2 Ge 2.92
Te 0.2238 0.7500 0.0126 x2  3 Mg 2.79-2.87
Te 0.4670 0.7500 0.6671 x2  3 Ge 2.74-2.96


Record 14
Entry from the Alexandria database: CdTe3Br after structural relaxation (PBE).

N(E_F), states/eV per atom: 1.01
Energy relative to the lowest polymorph listed for this composition, meV/atom: 0.0
E_tot, eV/atom: -1.88

a b c (Å): 5.6072 5.6072 5.6072
angles (deg): 90.00 90.00 90.00
Closest atoms and distances in Å follow each position.
Space group Pm-3m (No. 221)
Unique sites:
Cd 0.0000 0.0000 0.0000 x1  6 Te 2.80
Te 0.0000 0.0000 0.5000 x3  2 Cd 2.80
Br 0.5000 0.5000 0.5000 x1  12 Te 3.96


Record 15
Entry from the Alexandria database: ZnAs2RhBr after structural relaxation (PBE).

N(E_F), states/eV per atom: 0.61
Energy relative to the lowest polymorph listed for this composition, meV/atom: 558.4
E_tot, eV/atom: -2.99

a b c (Å): 4.7267 4.7267 5.0795
angles (deg): 90.00 90.00 90.00
Closest atoms and distances in Å follow each position.
Space group P4/mmm (No. 123)
Unique sites:
Zn 0.0000 0.0000 0.0000 x1  4 As 2.36, 2 Br 2.54
As 0.0000 0.5000 0.0000 x2  2 Zn 2.36
Rh 0.5000 0.5000 0.5000 x1  4 Br 3.34, 8 As 3.47
Br 0.0000 0.0000 0.5000 x1  2 Zn 2.54


Record 16
Entry from the Alexandria database: Sr2Ni3AgH12 after structural relaxation (PBE).

N(E_F), states/eV per atom: 0.17
E_tot, eV/atom: -3.71

a b c (Å): 6.0384 6.0384 15.4245
angles (deg): 90.00 90.00 120.00
Closest atoms and distances in Å follow each position.
Space group R-3m (No. 166, hexagonal axes)
Unique sites:
Sr 0.0000 0.0000 0.1152 x6  9 H 2.50-2.78
Ni 0.0000 0.5000 0.0000 x9  6 H 1.60-1.62
Ag 0.0000 0.0000 0.5000 x3  6 H 1.97
H 0.0050 0.5025 0.1040 x18  1 Ni 1.60
H 0.0550 0.5275 0.3416 x18  2 Ni 1.62


Record 17
Entry from the Alexandria database: LaTb2DyTl2 after structural relaxation (PBE).

ΔH_f (0 K), meV per atom: -271
N(E_F), states/eV per atom: 1.11
E_tot, eV/atom: -4.19

a b c (Å): 5.1959 10.1733 6.8496
angles (deg): 90.00 90.00 90.00
Closest atoms and distances in Å follow each position.
Space group Pmc2_1 (No. 26)
Unique sites:
La 0.0000 0.0433 0.0000 x2  5 Tl 3.32-3.57, 2 La 3.54, 2 Dy 3.56
Tb 0.0000 0.3195 0.3802 x2  4 Tl 3.20-3.27, 2 Tb 3.53
Tb 0.5000 0.4550 0.0964 x2  5 Tl 3.25-3.59, 4 Tb 3.53-3.55
Dy 0.5000 0.1950 0.7256 x2  4 Tl 3.19-3.42, 2 La 3.56
Tl 0.0000 0.3674 0.8432 x2  4 Tb 3.20-3.25, 2 Dy 3.24, 1 La 3.47
Tl 0.5000 0.1399 0.2668 x2  2 Dy 3.19-3.42, 3 Tb 3.27-3.41, 4 La 3.32-3.57


Record 18
Entry from the Alexandria database: BaCaSc2 after structural relaxation (PBE).

ΔH_f (0 K), meV per atom: 383
N(E_F), states/eV per atom: 1.84
Energy relative to the lowest polymorph listed for this composition, meV/atom: 186.9
E_tot, eV/atom: -3.76

a b c (Å): 4.0997 5.7373 5.7924
angles (deg): 90.00 90.00 90.00
Closest atoms and distances in Å follow each position.
Space group Pmmm (No. 47)
Unique sites:
Ba 0.0000 0.0000 0.0000 x1  4 Ca 3.53, 4 Sc 3.55
Ca 0.5000 0.5000 0.0000 x1  4 Ba 3.53, 4 Sc 3.55
Sc 0.0000 0.5000 0.5000 x1  4 Sc 3.53, 4 Ca 3.55
Sc 0.5000 0.0000 0.5000 x1  4 Sc 3.53, 4 Ba 3.55


Record 19
Entry from the Alexandria database: ReBiIN2 after structural relaxation (PBE).

N(E_F), states/eV per atom: 0.72
Energy relative to the lowest polymorph listed for this composition, meV/atom: 1344.0
E_tot, eV/atom: -4.47

a b c (Å): 4.3229 4.3229 6.9696
angles (deg): 90.00 90.00 90.00
Closest atoms and distances in Å follow each position.
Space group P4/mmm (No. 123)
Unique sites:
Re 0.0000 0.0000 0.0000 x1  4 I 3.06
Bi 0.5000 0.5000 0.5000 x1  4 N 2.16
I 0.5000 0.5000 0.0000 x1  4 Re 3.06
N 0.0000 0.5000 0.5000 x2  2 Bi 2.16


Record 20
Entry from the Alexandria database: AlZn8Ni6 after structural relaxation (PBE).

ΔH_f (0 K), meV per atom: -178
N(E_F), states/eV per atom: 0.54
E_tot, eV/atom: -3.42

a b c (Å): 7.0197 7.0197 14.7793
angles (deg): 90.00 90.00 120.00
Closest atoms and distances in Å follow each position.
Space group R-3 (No. 148, hexagonal axes)
Unique sites:
Al 0.0000 0.0000 0.0000 x3  6 Ni 2.41
Zn 0.0000 0.0000 0.3317 x6  6 Ni 2.44
Zn 0.9997 0.3329 0.4544 x18  5 Ni 2.45-2.61, 3 Zn 2.70
Ni 0.0011 0.6701 0.0450 x18  1 Al 2.41, 7 Zn 2.44-2.61, 2 Ni 2.67


| no. | V (Å³ per atom) |
| --- | --- |
| 1 | 23.8 |
| 2 | 29.2 |
| 3 | 41.8 |
| 4 | 14.4 |
| 5 | 20.7 |
| 6 | 23.1 |
| 7 | 14.0 |
| 8 | 29.1 |
| 9 | 24.1 |
| 10 | 23.4 |
| 11 | 14.6 |
| 12 | 14.5 |
| 13 | 32.8 |
| 14 | 35.3 |
| 15 | 22.7 |
| 16 | 9.0 |
| 17 | 30.2 |
| 18 | 34.1 |
| 19 | 26.0 |
| 20 | 14.0 |